K2CoP2H6O8 | PBE with a Hubbard U | optimized geometry

The structure in POSCAR format:
```
K2CoP2H6O8
1.0
5.362 0.000 0.000
-2.681 6.389 -0.029
0.000 -3.163 6.789
H O P Co K
6 8 2 1 2
Direct
0.267 0.535 0.874
0.733 0.465 0.126
0.385 0.071 0.847
0.615 0.929 0.153
0.685 0.071 0.847
0.315 0.929 0.153
0.079 0.158 0.862
0.897 0.268 0.612
0.489 0.978 0.784
0.511 0.022 0.216
0.103 0.732 0.388
0.371 0.268 0.612
0.921 0.842 0.138
0.629 0.732 0.388
0.852 0.703 0.263
0.148 0.297 0.737
0.500 0.000 0.500
0.838 0.676 0.717
0.162 0.324 0.283
```

VASP energy: -106.49 eV/f.u.
Space group: C2/m, No. 12